Model P:
Entry from the Alexandria database: InAsSe2N after structural relaxation (PBEsol).

a b c (Å): 3.996 4.809 4.809
angles (deg): 90.00 90.00 90.00
Fractional coordinates of all 5 atoms:
As: 0.500 0.000 0.000
N: 0.000 0.000 0.000
Se: 0.000 0.000 0.500
Se: 0.000 0.500 0.000
In: 0.500 0.500 0.500

- DOS at the Fermi energy (states/eV per atom) = 0.70
- magnetic moment (μB/cell) = 0.00

***

Model Q:
Entry from the Alexandria database: InAsSe2N after structural relaxation (PBEsol).

a b c (Å): 5.215 5.215 5.315
angles (deg): 90.00 90.00 90.00
Fractional coordinates of all 5 atoms:
As: 0.000 0.000 0.500
N: 0.500 0.500 0.500
Se: 0.000 0.500 0.000
Se: 0.500 0.000 0.000
In: 0.000 0.000 0.000

- DOS at the Fermi energy (states/eV per atom) = 1.05
- magnetic moment (μB/cell) = 1.68

***

model P ends up most stable, edging out the next structure by 1007 meV/atom.

***

Model P:
Entry from the Alexandria database: InAsPb2 after structural relaxation (PBEsol).

a b c (Å): 4.027 4.027 8.299
angles (deg): 75.96 75.96 60.00
Fractional coordinates of all 4 atoms:
Pb: 0.240 0.240 0.281
Pb: 0.760 0.760 0.719
As: 0.500 0.500 0.500
In: 0.000 0.000 0.000

- DOS at the Fermi energy (states/eV per atom) = 0.51
- magnetic moment (μB/cell) = 0.00

***

Model Q:
Entry from the Alexandria database: InAsPb2 after structural relaxation (PBEsol).

a b c (Å): 3.809 5.257 6.132
angles (deg): 115.38 108.10 90.00
Fractional coordinates of all 4 atoms:
Pb: 0.008 0.008 0.016
Pb: 0.214 0.714 0.428
As: 0.493 0.493 0.986
In: 0.785 0.285 0.571

- DOS at the Fermi energy (states/eV per atom) = 0.46
- magnetic moment (μB/cell) = 0.00

***

model Q ends up most stable, edging out the next structure by 34 meV/atom.

***

Model P:
Entry from the Alexandria database: Sc2InAs after structural relaxation (PBEsol).

a b c (Å): 4.864 4.864 4.864
angles (deg): 60.00 60.00 60.00
Fractional coordinates of all 4 atoms:
As: 0.000 0.000 0.000
In: 0.500 0.500 0.500
Sc: 0.250 0.250 0.250
Sc: 0.750 0.750 0.750

- DOS at the Fermi energy (states/eV per atom) = 1.04
- magnetic moment (μB/cell) = 0.00

***

Model Q:
Entry from the Alexandria database: Sc2InAs after structural relaxation (PBEsol).

a b c (Å): 3.972 3.972 5.615
angles (deg): 90.00 90.00 90.00
Fractional coordinates of all 4 atoms:
As: 0.000 0.000 0.375
In: 0.500 0.500 0.875
Sc: 0.000 0.000 0.875
Sc: 0.500 0.500 0.375

- DOS at the Fermi energy (states/eV per atom) = 0.79
- magnetic moment (μB/cell) = 0.00

***

Model R:
Entry from the Alexandria database: Sc2InAs after structural relaxation (PBEsol).

a b c (Å): 3.673 3.673 7.866
angles (deg): 76.50 76.50 60.00
Fractional coordinates of all 4 atoms:
Sc: 0.735 0.735 0.794
Sc: 0.265 0.265 0.206
As: 0.000 0.000 0.000
In: 0.500 0.500 0.500

- DOS at the Fermi energy (states/eV per atom) = 0.48
- magnetic moment (μB/cell) = 0.00

***

Model S:
Entry from the Alexandria database: Sc2InAs after structural relaxation (PBEsol).

a b c (Å): 3.873 4.529 4.558
angles (deg): 90.00 90.00 90.00
Fractional coordinates of all 4 atoms:
As: 0.500 0.500 0.000
In: 0.500 0.000 0.500
Sc: 0.000 0.000 0.000
Sc: 0.000 0.500 0.500

- DOS at the Fermi energy (states/eV per atom) = 1.04
- magnetic moment (μB/cell) = 0.01

***

model R ends up most stable, edging out the next structure by 248 meV/atom.

***

Model P:
Entry from the Alexandria database: InAs2Se after structural relaxation (PBEsol).

a b c (Å): 3.973 3.973 5.497
angles (deg): 90.00 90.00 90.00
Fractional coordinates of all 4 atoms:
As: 0.000 0.000 0.125
As: 0.500 0.500 0.125
Se: 0.500 0.500 0.625
In: 0.000 0.000 0.625

- DOS at the Fermi energy (states/eV per atom) = 0.35
- magnetic moment (μB/cell) = 0.00

***

Model Q:
Entry from the Alexandria database: InAs2Se after structural relaxation (PBEsol).

a b c (Å): 3.418 4.876 4.876
angles (deg): 89.98 90.00 90.00
Fractional coordinates of all 4 atoms:
As: 0.000 0.000 0.500
As: 0.000 0.500 0.000
Se: 0.500 0.500 0.500
In: 0.500 0.000 0.000

- DOS at the Fermi energy (states/eV per atom) = 0.51
- magnetic moment (μB/cell) = 0.00

***

Model R:
Entry from the Alexandria database: InAs2Se after structural relaxation (PBEsol).

a b c (Å): 3.459 4.015 6.219
angles (deg): 90.00 90.00 90.00
Fractional coordinates of all 4 atoms:
As: 0.000 0.000 0.200
As: 0.000 0.000 0.800
Se: 0.500 0.500 0.000
In: 0.500 0.500 0.500

- DOS at the Fermi energy (states/eV per atom) = 0.47
- magnetic moment (μB/cell) = 0.00

***

model P ends up most stable, edging out the next structure by 369 meV/atom.

***

Model P:
Entry from the Alexandria database: TaInAs after structural relaxation (PBEsol).

a b c (Å): 4.533 4.533 4.533
angles (deg): 60.00 60.00 60.00
Fractional coordinates of all 3 atoms:
As: 0.000 0.000 0.000
In: 0.500 0.500 0.500
Ta: 0.250 0.250 0.250

- DOS at the Fermi energy (states/eV per atom) = 1.17
- magnetic moment (μB/cell) = 0.00

***

Model Q:
Entry from the Alexandria database: TaInAs after structural relaxation (PBEsol).

a b c (Å): 3.362 3.362 5.469
angles (deg): 107.90 107.90 90.00
Fractional coordinates of all 3 atoms:
As: 0.973 0.973 0.947
In: 0.667 0.667 0.333
Ta: 0.360 0.360 0.720

- DOS at the Fermi energy (states/eV per atom) = 0.34
- magnetic moment (μB/cell) = 0.00

***

model Q ends up most stable, edging out the next structure by 758 meV/atom.

***

Model P:
Entry from the Alexandria database: TlInAs2 after structural relaxation (PBEsol).

a b c (Å): 3.162 3.162 9.367
angles (deg): 90.00 90.00 103.57
Fractional coordinates of all 4 atoms:
Tl: 0.500 0.500 0.000
As: 0.000 0.000 0.272
As: 0.000 0.000 0.728
In: 0.500 0.500 0.500

- DOS at the Fermi energy (states/eV per atom) = 0.48
- magnetic moment (μB/cell) = 0.00

***

Model Q:
Entry from the Alexandria database: TlInAs2 after structural relaxation (PBEsol).

a b c (Å): 6.154 6.154 7.537
angles (deg): 114.09 114.09 90.00
Fractional coordinates of all 8 atoms:
Tl: 0.250 0.750 0.500
Tl: 0.000 0.000 0.000
As: 0.383 0.875 0.250
As: 0.867 0.375 0.250
As: 0.125 0.133 0.750
As: 0.625 0.617 0.750
In: 0.750 0.250 0.500
In: 0.500 0.500 0.000

- DOS at the Fermi energy (states/eV per atom) = 0.04
- magnetic moment (μB/cell) = 0.00

***

Model R:
Entry from the Alexandria database: TlInAs2 after structural relaxation (PBEsol).

a b c (Å): 3.549 5.354 5.993
angles (deg): 116.54 107.22 90.00
Fractional coordinates of all 4 atoms:
Tl: 0.266 0.766 0.532
As: 0.039 0.039 0.078
As: 0.712 0.212 0.424
In: 0.482 0.482 0.965

- DOS at the Fermi energy (states/eV per atom) = 0.38
- magnetic moment (μB/cell) = 0.00

***

model Q ends up most stable, edging out the next structure by 85 meV/atom.

***

Model P:
Entry from the Alexandria database: ZrInAs3 after structural relaxation (PBEsol).

a b c (Å): 5.000 5.000 5.000
angles (deg): 90.00 90.00 90.00
Fractional coordinates of all 5 atoms:
As: 0.000 0.500 0.000
As: 0.000 0.000 0.500
As: 0.500 0.000 0.000
Zr: 0.500 0.500 0.500
In: 0.000 0.000 0.000

- DOS at the Fermi energy (states/eV per atom) = 0.88
- magnetic moment (μB/cell) = 0.00

***

Model Q:
Entry from the Alexandria database: ZrInAs3 after structural relaxation (PBEsol).

a b c (Å): 5.139 5.139 5.139
angles (deg): 90.00 90.00 90.00
Fractional coordinates of all 5 atoms:
As: 0.000 0.500 0.000
As: 0.000 0.000 0.500
As: 0.500 0.000 0.000
Zr: 0.000 0.000 0.000
In: 0.500 0.500 0.500

- DOS at the Fermi energy (states/eV per atom) = 0.82
- magnetic moment (μB/cell) = 0.00

***

model Q ends up most stable, edging out the next structure by 730 meV/atom.

***

Model P:
Entry from the Alexandria database: As3Ir after structural relaxation (PBEsol).

a b c (Å): 2.925 5.204 5.204
angles (deg): 116.57 100.80 100.80
Fractional coordinates of all 4 atoms:
As: 0.500 0.500 0.500
As: 0.000 0.500 0.000
As: 0.000 0.000 0.500
Ir: 0.500 0.000 0.000

- DOS at the Fermi energy (states/eV per atom) = 0.65
- magnetic moment (μB/cell) = 0.00

***

Model Q:
Entry from the Alexandria database: As3Ir after structural relaxation (PBEsol).

a b c (Å): 7.355 7.355 7.355
angles (deg): 109.47 109.47 109.47
Fractional coordinates of all 16 atoms:
As: 0.854 0.506 0.652
As: 0.854 0.202 0.348
As: 0.146 0.798 0.652
As: 0.146 0.494 0.348
As: 0.506 0.652 0.854
As: 0.202 0.348 0.854
As: 0.798 0.652 0.146
As: 0.494 0.348 0.146
As: 0.652 0.854 0.506
As: 0.348 0.854 0.202
As: 0.652 0.146 0.798
As: 0.348 0.146 0.494
Ir: 0.500 0.500 0.500
Ir: 0.000 0.000 0.500
Ir: 0.500 0.000 0.000
Ir: 0.000 0.500 0.000

- magnetic moment (μB/cell) = 0.00

***

Model R:
Entry from the Alexandria database: As3Ir after structural relaxation (PBEsol).

a b c (Å): 5.267 5.309 5.309
angles (deg): 94.22 90.00 90.00
Fractional coordinates of all 8 atoms:
As: 0.750 0.019 0.981
As: 0.250 0.981 0.019
As: 0.750 0.976 0.513
As: 0.250 0.024 0.487
As: 0.750 0.487 0.024
As: 0.250 0.513 0.976
Ir: 0.250 0.474 0.526
Ir: 0.750 0.526 0.474

- DOS at the Fermi energy (states/eV per atom) = 0.48
- magnetic moment (μB/cell) = 0.00

***

Model S:
Entry from the Alexandria database: As3Ir after structural relaxation (PBEsol).

a b c (Å): 2.956 4.698 4.698
angles (deg): 90.00 90.00 90.00
Fractional coordinates of all 4 atoms:
As: 0.000 0.000 0.500
As: 0.500 0.500 0.500
As: 0.000 0.500 0.000
Ir: 0.500 0.000 0.000

- DOS at the Fermi energy (states/eV per atom) = 0.59
- magnetic moment (μB/cell) = 0.00

***

model Q ends up most stable, edging out the next structure by 666 meV/atom.

***

Model P:
Entry from the Alexandria database: LiAs2Ir after structural relaxation (PBEsol).

a b c (Å): 6.114 6.496 6.114
angles (deg): 61.93 90.00 118.07
Fractional coordinates of all 8 atoms:
As: 0.667 0.750 0.375
As: 0.083 0.750 0.875
As: 0.875 0.250 0.667
As: 0.375 0.250 0.083
Ir: 0.750 0.500 0.750
Ir: 0.000 0.000 0.000
Li: 0.250 0.500 0.250
Li: 0.500 0.000 0.500

- DOS at the Fermi energy (states/eV per atom) = 0.47
- magnetic moment (μB/cell) = 0.00

***

Model Q:
Entry from the Alexandria database: LiAs2Ir after structural relaxation (PBEsol).

a b c (Å): 3.669 3.669 6.481
angles (deg): 73.56 73.56 60.00
Fractional coordinates of all 4 atoms:
As: 0.238 0.238 0.287
As: 0.762 0.762 0.713
Ir: 0.500 0.500 0.500
Li: 0.000 0.000 0.000

- DOS at the Fermi energy (states/eV per atom) = 0.59
- magnetic moment (μB/cell) = 0.00

***

model Q ends up most stable, edging out the next structure by 238 meV/atom.

***

Model P:
Entry from the Alexandria database: MnAs2Ir after structural relaxation (PBEsol).

a b c (Å): 2.946 4.359 5.379
angles (deg): 113.91 105.89 90.00
Fractional coordinates of all 4 atoms:
As: 0.989 0.989 0.979
As: 0.767 0.267 0.534
Ir: 0.488 0.488 0.976
Mn: 0.256 0.756 0.512

- DOS at the Fermi energy (states/eV per atom) = 0.55
- magnetic moment (μB/cell) = 2.99

***

Model Q:
Entry from the Alexandria database: MnAs2Ir after structural relaxation (PBEsol).

a b c (Å): 4.046 4.046 8.227
angles (deg): 104.23 104.23 90.00
Fractional coordinates of all 8 atoms:
As: 0.387 0.875 0.250
As: 0.863 0.375 0.250
As: 0.125 0.137 0.750
As: 0.625 0.613 0.750
Ir: 0.250 0.750 0.500
Ir: 0.000 0.000 0.000
Mn: 0.750 0.250 0.500
Mn: 0.500 0.500 0.000

- DOS at the Fermi energy (states/eV per atom) = 0.59
- magnetic moment (μB/cell) = 3.77

***

model Q ends up most stable, edging out the next structure by 82 meV/atom.

***

Model P:
Entry from the Alexandria database: MoAsIr after structural relaxation (PBEsol).

a b c (Å): 2.909 2.909 5.681
angles (deg): 104.84 104.84 90.00
Fractional coordinates of all 3 atoms:
Mo: 0.670 0.670 0.340
Ir: 0.327 0.327 0.654
As: 0.003 0.003 0.006

- DOS at the Fermi energy (states/eV per atom) = 0.47
- magnetic moment (μB/cell) = 0.00

***

Model Q:
Entry from the Alexandria database: MoAsIr after structural relaxation (PBEsol).

a b c (Å): 2.831 3.975 4.650
angles (deg): 115.31 107.72 90.00
Fractional coordinates of all 3 atoms:
Mo: 0.327 0.327 0.653
Ir: 0.673 0.673 0.346
As: 0.000 0.000 0.001

- DOS at the Fermi energy (states/eV per atom) = 0.56
- magnetic moment (μB/cell) = 0.00

***

model P ends up most stable, edging out the next structure by 108 meV/atom.